DFT (PBE with a Hubbard U) results for a geometry-optimized La2CrMoF structure.

Results
Mass density ... 5.981 g/cm3
Magnetic moment ... 6.5 μB per cell
Calculated total energy ... -5.50 eV per atom

```
data_La2CrMoF
_cell_length_a 5.322
_cell_length_b 5.322
_cell_length_c 4.359
_cell_angle_alpha 90.00
_cell_angle_beta 90.00
_cell_angle_gamma 90.00
_symmetry_space_group_name_H-M 'P 1'
_symmetry_Int_Tables_number 1
loop_
_symmetry_equiv_pos_as_xyz
'x,y,z'
loop_
_atom_site_label
_atom_site_type_symbol
_atom_site_fract_x
_atom_site_fract_y
_atom_site_fract_z
_atom_site_occupancy
La1 La 0.000 0.500 0.000 1
La2 La 0.500 0.000 0.000 1
Cr1 Cr 0.000 0.000 0.500 1
Mo1 Mo 0.500 0.500 0.500 1
F1 F 0.500 0.500 0.000 1
```